La8PPt3I4 | PBE | optimized geometry

Results
- energy (eV per atom) = -5.553
- formation energy from raw total energies (eV per atom) = -1.2314

a = 9.4803 Å, b = 9.4803 Å, c = 9.4803 Å
α = 54.52°, β = 54.52°, γ = 54.52°
Last column: nearest neighbours and their distance in Å.
Positions (direct):
La 0.2294 0.2294 0.2294  3 Pt 2.93
La 0.2306 0.7322 0.7322  2 Pt 2.95, 1 P 2.96
La 0.2678 0.2678 0.7694  2 Pt 2.95, 1 P 2.96
La 0.2678 0.7694 0.2678  2 Pt 2.95, 1 P 2.96
La 0.7322 0.2306 0.7322  2 Pt 2.95, 1 P 2.96
La 0.7322 0.7322 0.2306  2 Pt 2.95, 1 P 2.96
La 0.7694 0.2678 0.2678  2 Pt 2.95, 1 P 2.96
La 0.7706 0.7706 0.7706  3 Pt 2.93
P 0.5000 0.5000 0.5000  6 La 2.96
Pt 0.0000 0.0000 0.5000  6 La 2.93-2.95
Pt 0.0000 0.5000 0.0000  6 La 2.93-2.95
Pt 0.5000 0.0000 0.0000  6 La 2.93-2.95
I 0.0000 0.0000 0.0000  6 La 3.50
I 0.0000 0.5000 0.5000  6 La 3.51-3.55
I 0.5000 0.0000 0.5000  6 La 3.51-3.55
I 0.5000 0.5000 0.0000  6 La 3.51-3.55